# PBE Mg4Pa3PtN8, relaxed
# DOS at the Fermi energy ... 11.61 states/eV per cell
# Total DFT energy (no corrections) ... -7.70 eV/atom
# Calculated density ... 8.46 g/cm³
data_Mg4Pa3PtN8
_cell_length_a 12.108
_cell_length_b 6.336
_cell_length_c 6.341
_cell_angle_alpha 90.00
_cell_angle_beta 117.71
_cell_angle_gamma 90.00
_symmetry_space_group_name_H-M 'C 1 2/m 1'
_symmetry_Int_Tables_number 12
loop_
_symmetry_equiv_pos_as_xyz
'x,y,z'
'-x,-y,-z'
'-x,y,-z'
'x,-y,z'
'x+1/2,y+1/2,z'
'-x+1/2,-y+1/2,-z'
'-x+1/2,y+1/2,-z'
'x+1/2,-y+1/2,z'
loop_
_atom_site_label
_atom_site_type_symbol
_atom_site_fract_x
_atom_site_fract_y
_atom_site_fract_z
Mg1 Mg 0.000 0.000 0.000
Mg2 Mg 0.000 0.500 0.000
Mg3 Mg 0.250 0.250 0.500
Pa1 Pa 0.000 0.000 0.500
Pa2 Pa 0.250 0.250 0.000
Pt1 Pt 0.000 0.500 0.500
N1 N 0.031 0.260 0.773
N2 N 0.205 0.000 0.209
N3 N 0.224 0.000 0.709